The following is a DFT calculation (PBE-GGA) of a geometry-optimized Pt2AuF4 structure.

Results
Total magnetic moment (μB/cell): 2.43
Formation energy without anion corrections (eV/atom): 0.126

Lattice parameters (Å, degrees): 4.2904 4.2904 7.4244 73.21 73.21 90.00
Last column: nearest neighbours and their distance in Å.
Element x y z (fractional)
Au: 0.0000 0.0000 0.0000  4 F 2.15
Pt: 0.6514 0.6514 0.6972  1 F 2.00
Pt: 0.3486 0.3486 0.3028  1 F 2.00
F: 0.7989 0.7989 0.4021  1 Pt 2.00
F: 0.2011 0.2011 0.5979  1 Pt 2.00
F: 0.0000 0.5000 0.0000  2 Au 2.15
F: 0.5000 0.0000 0.0000  2 Au 2.15